1.
## Sc4GeTe (PBE)

Data for Sc4GeTe after structural relaxation.

## Properties
Its total energy is -74.2 eV/cell. Its space group is C2/c (15).

a b c (Å): 7.435 7.435 5.729
angles (deg): 102.04 102.04 114.91
Sites, in units of the cell vectors:
Sc  0.089  0.714  0.941
Sc  0.199  0.381  0.652
Sc  0.286  0.911  0.559
Sc  0.381  0.199  0.152
Sc  0.619  0.801  0.848
Sc  0.714  0.089  0.441
Sc  0.801  0.619  0.348
Sc  0.911  0.286  0.059
Ge  0.001  0.999  0.250
Ge  0.999  0.001  0.750
Te  0.387  0.613  0.250
Te  0.613  0.387  0.750



2.
## Sc6GeTe5 (PBE)

Data for Sc6GeTe5 after structural relaxation.

## Properties
Its total energy is -71.8 eV/cell. Its space group is C2/m (12).

a b c (Å): 7.159 7.159 7.159
angles (deg): 99.58 99.58 119.98
Sites, in units of the cell vectors:
Sc  0.075  0.379  0.729
Sc  0.222  0.222  0.263
Sc  0.379  0.075  0.729
Sc  0.621  0.925  0.271
Sc  0.778  0.778  0.737
Sc  0.925  0.621  0.271
Ge  0.000  0.000  0.500
Te  0.176  0.824  0.000
Te  0.336  0.664  0.500
Te  0.500  0.500  0.000
Te  0.664  0.336  0.500
Te  0.824  0.176  0.000



3.
## ScGe2Te4 (PBE)

Data for ScGe2Te4 after structural relaxation.

## Properties
Its total energy is -61.7 eV/cell. Its space group is Cmcm (63).

a b c (Å): 7.236 7.236 13.794
angles (deg): 90.00 90.00 147.08
Sites, in units of the cell vectors:
Sc  0.108  0.892  0.750
Sc  0.892  0.108  0.250
Ge  0.366  0.634  0.563
Ge  0.366  0.634  0.937
Ge  0.634  0.366  0.063
Ge  0.634  0.366  0.437
Te  0.000  0.000  0.000
Te  0.000  0.000  0.500
Te  0.281  0.719  0.129
Te  0.281  0.719  0.371
Te  0.459  0.541  0.750
Te  0.541  0.459  0.250
Te  0.719  0.281  0.629
Te  0.719  0.281  0.871



4.
## Sc3Ge5Te12 (PBE)

Data for Sc3Ge5Te12 after structural relaxation.

## Properties
Its total energy is -347.5 eV/cell. Its space group is Ia-3d (230).

a b c (Å): 14.790 14.790 14.790
angles (deg): 109.47 109.47 109.47
Sites, in units of the cell vectors:
Sc  0.125  0.250  0.375
Sc  0.125  0.375  0.750
Sc  0.250  0.375  0.125
Sc  0.250  0.875  0.625
Sc  0.375  0.125  0.250
Sc  0.375  0.750  0.125
Sc  0.625  0.250  0.875
Sc  0.625  0.875  0.750
Sc  0.750  0.125  0.375
Sc  0.750  0.625  0.875
Sc  0.875  0.625  0.250
Sc  0.875  0.750  0.625
Ge  0.000  0.000  0.000
Ge  0.000  0.000  0.500
Ge  0.000  0.500  0.000
Ge  0.000  0.500  0.500
Ge  0.125  0.750  0.875
Ge  0.125  0.875  0.250
Ge  0.250  0.125  0.875
Ge  0.250  0.625  0.375
Ge  0.375  0.250  0.625
Ge  0.375  0.625  0.750
Ge  0.500  0.000  0.000
Ge  0.500  0.000  0.500
Ge  0.500  0.500  0.000
Ge  0.500  0.500  0.500
Ge  0.625  0.375  0.250
Ge  0.625  0.750  0.375
Ge  0.750  0.375  0.625
Ge  0.750  0.875  0.125
Ge  0.875  0.125  0.750
Ge  0.875  0.250  0.125
Te  0.048  0.221  0.136
Te  0.048  0.327  0.912
Te  0.085  0.721  0.673
Te  0.085  0.864  0.412
Te  0.088  0.636  0.415
Te  0.088  0.952  0.673
Te  0.136  0.048  0.221
Te  0.136  0.588  0.915
Te  0.173  0.221  0.585
Te  0.173  0.452  0.588
Te  0.221  0.136  0.048
Te  0.221  0.585  0.173
Te  0.279  0.327  0.915
Te  0.279  0.452  0.364
Te  0.327  0.912  0.048
Te  0.327  0.915  0.279
Te  0.364  0.279  0.452
Te  0.364  0.585  0.912
Te  0.412  0.085  0.864
Te  0.412  0.827  0.548
Te  0.415  0.088  0.636
Te  0.415  0.827  0.779
Te  0.452  0.364  0.279
Te  0.452  0.588  0.173
Te  0.548  0.412  0.827
Te  0.548  0.636  0.721
Te  0.585  0.173  0.221
Te  0.585  0.912  0.364
Te  0.588  0.173  0.452
Te  0.588  0.915  0.136
Te  0.636  0.415  0.088
Te  0.636  0.721  0.548
Te  0.673  0.085  0.721
Te  0.673  0.088  0.952
Te  0.721  0.548  0.636
Te  0.721  0.673  0.085
Te  0.779  0.415  0.827
Te  0.779  0.864  0.952
Te  0.827  0.548  0.412
Te  0.827  0.779  0.415
Te  0.864  0.412  0.085
Te  0.864  0.952  0.779
Te  0.912  0.048  0.327
Te  0.912  0.364  0.585
Te  0.915  0.136  0.588
Te  0.915  0.279  0.327
Te  0.952  0.673  0.088
Te  0.952  0.779  0.864



5.
## Sc4GeTe4 (PBE)

Data for Sc4GeTe4 after structural relaxation.

## Properties
Its total energy is -52.8 eV/cell. Its space group is C2/m (12).

a b c (Å): 7.136 7.136 10.081
angles (deg): 118.97 118.97 33.15
Sites, in units of the cell vectors:
Sc  0.090  0.090  0.408
Sc  0.309  0.309  0.211
Sc  0.691  0.691  0.789
Sc  0.910  0.910  0.592
Ge  0.500  0.500  0.500
Te  0.101  0.101  0.903
Te  0.306  0.306  0.702
Te  0.694  0.694  0.298
Te  0.899  0.899  0.097



6.
## Sc2GeTe (PBE)

Data for Sc2GeTe after structural relaxation.

## Properties
Its space group is R-3m (166). The excess energy over the best structure of this formula in the dataset comes out at 0.0000 eV/atom.

a b c (Å): 4.014 4.014 20.148
angles (deg): 90.00 90.00 120.00
Sites, in units of the cell vectors:
Sc  0.000  0.000  0.239
Sc  0.000  0.000  0.761
Sc  0.333  0.667  0.427
Sc  0.333  0.667  0.906
Sc  0.667  0.333  0.094
Sc  0.667  0.333  0.573
Ge  0.000  0.000  0.500
Ge  0.333  0.667  0.167
Ge  0.667  0.333  0.833
Te  0.000  0.000  0.000
Te  0.333  0.667  0.667
Te  0.667  0.333  0.333



7.
## ScGe2Te (PBE)

Data for ScGe2Te after structural relaxation.

## Properties
Its total energy is -71.8 eV/cell. Its space group is I-42d (122).

a b c (Å): 6.447 6.447 12.179
angles (deg): 90.00 90.00 90.00
Sites, in units of the cell vectors:
Sc  0.000  0.000  0.000
Sc  0.000  0.500  0.250
Sc  0.500  0.000  0.750
Sc  0.500  0.500  0.500
Ge  0.245  0.250  0.125
Ge  0.250  0.745  0.375
Ge  0.250  0.755  0.875
Ge  0.255  0.250  0.625
Ge  0.745  0.750  0.625
Ge  0.750  0.245  0.875
Ge  0.750  0.255  0.375
Ge  0.755  0.750  0.125
Te  0.000  0.000  0.500
Te  0.000  0.500  0.750
Te  0.500  0.000  0.250
Te  0.500  0.500  0.000



8.
## Sc2Ge2Te7 (PBE)

Data for Sc2Ge2Te7 after structural relaxation.

## Properties
Its total energy is -48.0 eV/cell. Its space group is C2/m (12).

a b c (Å): 7.750 7.750 6.835
angles (deg): 96.79 96.79 102.81
Sites, in units of the cell vectors:
Sc  0.195  0.805  0.000
Sc  0.805  0.195  0.000
Ge  0.252  0.252  0.602
Ge  0.748  0.748  0.398
Te  0.046  0.439  0.786
Te  0.070  0.070  0.244
Te  0.439  0.046  0.786
Te  0.500  0.500  0.500
Te  0.561  0.954  0.214
Te  0.930  0.930  0.756
Te  0.954  0.561  0.214



9.
## Sc4Ge2Te (PBE)

Data for Sc4Ge2Te after structural relaxation.

## Properties
Its total energy is -84.8 eV/cell. Its space group is I4_1/amd (141).

a b c (Å): 8.205 8.205 8.205
angles (deg): 119.95 119.95 90.09
Sites, in units of the cell vectors:
Sc  0.270  0.311  0.541
Sc  0.270  0.729  0.959
Sc  0.271  0.730  0.541
Sc  0.311  0.270  0.041
Sc  0.689  0.730  0.959
Sc  0.729  0.270  0.459
Sc  0.730  0.271  0.041
Sc  0.730  0.689  0.459
Ge  0.000  0.500  0.500
Ge  0.500  0.000  0.000
Ge  0.500  0.500  0.000
Ge  0.500  0.500  0.500
Te  0.125  0.875  0.250
Te  0.875  0.125  0.750



10.
## Sc6GeTe2 (PBE)

Data for Sc6GeTe2 after structural relaxation.

## Properties
Its total energy is -104.6 eV/cell. Its space group is P4_2/mnm (136).

a b c (Å): 6.445 6.445 12.225
angles (deg): 90.00 90.00 90.00
Sites, in units of the cell vectors:
Sc  0.196  0.196  0.156
Sc  0.196  0.196  0.844
Sc  0.216  0.216  0.500
Sc  0.284  0.716  0.000
Sc  0.304  0.696  0.344
Sc  0.304  0.696  0.656
Sc  0.696  0.304  0.344
Sc  0.696  0.304  0.656
Sc  0.716  0.284  0.000
Sc  0.784  0.784  0.500
Sc  0.804  0.804  0.156
Sc  0.804  0.804  0.844
Ge  0.000  0.000  0.000
Ge  0.500  0.500  0.500
Te  0.000  0.000  0.334
Te  0.000  0.000  0.666
Te  0.500  0.500  0.166
Te  0.500  0.500  0.834



11.
## Sc5Ge2Te2 (PBE)

Data for Sc5Ge2Te2 after structural relaxation.

## Properties
Its total energy is -112.2 eV/cell. Its space group is Cmce (64).

a b c (Å): 8.083 8.083 7.423
angles (deg): 90.00 90.00 54.52
Sites, in units of the cell vectors:
Sc  0.000  0.000  0.000
Sc  0.037  0.714  0.663
Sc  0.214  0.537  0.163
Sc  0.286  0.963  0.663
Sc  0.463  0.786  0.163
Sc  0.500  0.500  0.500
Sc  0.537  0.214  0.837
Sc  0.714  0.037  0.337
Sc  0.786  0.463  0.837
Sc  0.963  0.286  0.337
Ge  0.140  0.860  0.362
Ge  0.360  0.640  0.862
Ge  0.640  0.360  0.138
Ge  0.860  0.140  0.638
Te  0.205  0.205  0.000
Te  0.295  0.295  0.500
Te  0.705  0.705  0.500
Te  0.795  0.795  0.000



12.
## ScGeTe (PBE)

Data for ScGeTe after structural relaxation.

## Properties
Its total energy is -32.4 eV/cell. Its space group is R-3m (166).

a b c (Å): 11.769 11.769 11.769
angles (deg): 19.81 19.81 19.81
Sites, in units of the cell vectors:
Sc  0.066  0.066  0.066
Sc  0.934  0.934  0.934
Ge  0.348  0.348  0.348
Ge  0.652  0.652  0.652
Te  0.221  0.221  0.221
Te  0.779  0.779  0.779



13.
## Sc5GeTe4 (PBE)

Data for Sc5GeTe4 after structural relaxation.

## Properties
Its total energy is -59.9 eV/cell. Its space group is I4/m (87).

a b c (Å): 7.154 7.154 7.154
angles (deg): 99.42 99.42 132.26
Sites, in units of the cell vectors:
Sc  0.000  0.000  0.000
Sc  0.230  0.404  0.634
Sc  0.404  0.770  0.174
Sc  0.596  0.230  0.826
Sc  0.770  0.596  0.366
Ge  0.500  0.500  0.000
Te  0.092  0.694  0.786
Te  0.306  0.092  0.398
Te  0.694  0.908  0.602
Te  0.908  0.306  0.214



14.
## Sc2GeTe (PBE)

Data for Sc2GeTe after structural relaxation.

## Properties
Its space group is I-42d (122). The excess energy over the best structure of this formula in the dataset comes out at 0.5353 eV/atom.

a b c (Å): 6.338 6.338 12.872
angles (deg): 90.00 90.00 90.00
Sites, in units of the cell vectors:
Sc  0.211  0.250  0.125
Sc  0.250  0.711  0.375
Sc  0.250  0.789  0.875
Sc  0.289  0.250  0.625
Sc  0.711  0.750  0.625
Sc  0.750  0.211  0.875
Sc  0.750  0.289  0.375
Sc  0.789  0.750  0.125
Ge  0.000  0.000  0.000
Ge  0.000  0.500  0.250
Ge  0.500  0.000  0.750
Ge  0.500  0.500  0.500
Te  0.000  0.000  0.500
Te  0.000  0.500  0.750
Te  0.500  0.000  0.250
Te  0.500  0.500  0.000



15.
## Sc2Tl3GeTe6 (PBE)

Data for Sc2Tl3GeTe6 after structural relaxation.

## Properties
Its total energy is -51.2 eV/cell. Its space group is C2/m (12).

a b c (Å): 7.493 7.493 8.201
angles (deg): 98.70 98.70 119.97
Sites, in units of the cell vectors:
Sc  0.167  0.833  0.000
Sc  0.833  0.167  0.000
Tl  0.000  0.000  0.500
Tl  0.334  0.666  0.500
Tl  0.666  0.334  0.500
Ge  0.500  0.500  0.000
Te  0.095  0.433  0.796
Te  0.230  0.230  0.202
Te  0.433  0.095  0.796
Te  0.567  0.905  0.204
Te  0.770  0.770  0.798
Te  0.905  0.567  0.204



16.
## Sc6TlGe2Te3 (PBE)

Data for Sc6TlGe2Te3 after structural relaxation.

## Properties
Its total energy is -69.6 eV/cell. Its space group is C2/m (12).

a b c (Å): 9.170 9.170 8.314
angles (deg): 103.34 103.34 25.35
Sites, in units of the cell vectors:
Sc  0.011  0.011  0.259
Sc  0.325  0.325  0.434
Sc  0.330  0.330  0.888
Sc  0.670  0.670  0.112
Sc  0.675  0.675  0.566
Sc  0.989  0.989  0.741
Tl  0.500  0.500  0.000
Ge  0.168  0.168  0.336
Ge  0.832  0.832  0.664
Te  0.163  0.163  0.833
Te  0.500  0.500  0.500
Te  0.837  0.837  0.167



17.
## ScTlGeTe3 (PBE)

Data for ScTlGeTe3 after structural relaxation.

## Properties
Its total energy is -53.2 eV/cell. Its space group is P2_1/m (11).

a b c (Å): 8.896 4.155 11.248
angles (deg): 90.00 108.35 90.00
Sites, in units of the cell vectors:
Sc  0.136  0.250  0.157
Sc  0.864  0.750  0.843
Tl  0.265  0.750  0.720
Tl  0.735  0.250  0.280
Ge  0.378  0.750  0.445
Ge  0.622  0.250  0.555
Te  0.110  0.250  0.892
Te  0.157  0.250  0.427
Te  0.385  0.750  0.206
Te  0.615  0.250  0.794
Te  0.843  0.750  0.573
Te  0.890  0.750  0.108



18.
## ThScGe2 (PBE)

Data for ThScGe2 after structural relaxation.

## Properties
The formation enthalpy at 0 K comes out at -0.685 eV/atom. Its space group is R-3m (166). The excess energy over the best structure of this formula in the dataset comes out at 0.0257 eV/atom.

a b c (Å): 4.513 4.513 15.904
angles (deg): 90.00 90.00 120.00
Sites, in units of the cell vectors:
Th  0.000  0.000  0.000
Th  0.333  0.667  0.667
Th  0.667  0.333  0.333
Sc  0.000  0.000  0.500
Sc  0.333  0.667  0.167
Sc  0.667  0.333  0.833
Ge  0.000  0.000  0.234
Ge  0.000  0.000  0.766
Ge  0.333  0.667  0.433
Ge  0.333  0.667  0.901
Ge  0.667  0.333  0.099
Ge  0.667  0.333  0.567